No. 1
## ZnGe2Pd2 (PBE-GGA)

Data for ZnGe2Pd2 after structural relaxation.

Structure (extended XYZ):
```
10
Lattice="7.3619 0.0000 0.0000 0.0000 7.3619 0.0000 0.0000 0.0000 3.1163" Properties=species:S:1:pos:R:3 pbc="T T T"
Zn 0.0000 0.0000 0.0000
Zn 3.6809 3.6809 0.0000
Ge 1.1413 2.5396 1.5581
Ge 2.5396 6.2206 1.5581
Ge 4.8222 1.1413 1.5581
Ge 6.2206 4.8222 1.5581
Pd 1.0542 4.7352 0.0000
Pd 2.6267 1.0542 0.0000
Pd 4.7352 6.3076 0.0000
Pd 6.3076 2.6267 0.0000
```

Computed properties:
ΔH_f (0 K), eV/atom: -0.202

***

No. 2
## Ac2La2PmY6 (PBE-GGA)

Data for Ac2La2PmY6 after structural relaxation.

Structure (extended XYZ):
```
11
Lattice="3.1479 -5.4903 0.0000 3.1479 5.4903 0.0000 -2.1564 0.0000 11.8793" Properties=species:S:1:pos:R:3 pbc="T T T"
Ac 3.1479 3.6705 0.0000
Ac 3.1479 -3.6705 0.0000
La 2.0697 1.8012 5.9397
La 2.0697 -1.8012 5.9397
Pm -1.0782 0.0000 5.9397
Y -0.0348 1.8168 8.8439
Y 1.0314 0.0000 3.0463
Y -0.0348 -1.8168 8.8439
Y 4.1742 1.8168 3.0354
Y 3.1080 0.0000 8.8331
Y 4.1742 -1.8168 3.0354
```

Computed properties:
ΔH_f (0 K), eV/atom: 0.179

***

No. 3
## ErZn11Fe (PBE-GGA)

Data for ErZn11Fe after structural relaxation.

Structure (extended XYZ):
```
13
Lattice="2.5870 -6.2436 0.0000 2.5870 6.2436 0.0000 -2.5607 0.0000 6.2092" Properties=species:S:1:pos:R:3 pbc="T T T"
Er 0.0000 0.0000 0.0000
Zn 1.2935 3.1218 0.0000
Zn 0.1119 4.0966 3.9997
Zn -0.0071 1.3470 4.8499
Zn 2.5013 4.0966 2.2095
Zn -0.0071 -1.3470 4.8499
Zn 1.2935 -3.1218 0.0000
Zn 1.3066 0.0000 3.1046
Zn 2.6203 1.3470 1.3594
Zn 0.1119 -4.0966 3.9997
Zn 2.6203 -1.3470 1.3594
Zn 2.5013 -4.0966 2.2095
Fe -1.2804 0.0000 3.1046
```

Computed properties:
ΔH_f (0 K), eV/atom: -0.135

***

No. 4
## FeReIr2 (PBE-GGA)

Data for FeReIr2 after structural relaxation.

Structure (extended XYZ):
```
8
Lattice="2.7313 0.0000 0.0000 0.0000 4.3951 0.0000 -1.3032 0.0000 9.6018" Properties=species:S:1:pos:R:3 pbc="T T T"
Fe 0.0240 1.0988 3.0407
Fe 1.4041 3.2963 6.5611
Re 0.0607 3.2963 8.8388
Re 1.3674 1.0988 0.7630
Ir -0.0018 3.2963 1.5999
Ir 0.0347 3.2963 4.3566
Ir 1.3934 1.0988 5.2452
Ir 1.4299 1.0988 8.0019
```

Computed properties:
Energy relative to the lowest polymorph listed for this composition, meV/atom: 157.1
ΔH_f (0 K), eV/atom: 0.014

***

No. 5
## Ba3Sm2UP6 (PBE-GGA)

Data for Ba3Sm2UP6 after structural relaxation.

Structure (extended XYZ):
```
12
Lattice="3.6734 -6.3593 0.0000 3.6734 6.3593 0.0000 -2.4482 0.0000 7.3196" Properties=species:S:1:pos:R:3 pbc="T T T"
Ba 0.0000 0.0000 0.0000
Ba 3.6734 2.1762 0.0000
Ba 3.6734 -2.1762 0.0000
Sm 2.4493 4.2486 3.6598
Sm 2.4493 -4.2486 3.6598
U 2.4493 0.0000 3.6598
P 1.3086 1.9783 2.1772
P 0.1738 0.0000 5.1570
P 1.3086 -1.9783 2.1772
P 3.5900 1.9783 5.1423
P 4.7247 0.0000 2.1626
P 3.5900 -1.9783 5.1423
```

Computed properties:
ΔH_f (0 K), eV/atom: -1.160

***

No. 6
## Sc2Nb2Ag (PBE-GGA)

Data for Sc2Nb2Ag after structural relaxation.

Structure (extended XYZ):
```
10
Lattice="7.7804 0.0000 0.0000 0.0000 7.7804 0.0000 0.0000 0.0000 3.4765" Properties=species:S:1:pos:R:3 pbc="T T T"
Sc 1.4581 2.4320 0.0000
Sc 2.4320 6.3222 0.0000
Sc 5.3483 1.4581 0.0000
Sc 6.3222 5.3483 0.0000
Nb 0.8651 4.7553 1.7382
Nb 3.0251 0.8651 1.7382
Nb 4.7553 6.9153 1.7382
Nb 6.9153 3.0251 1.7382
Ag 0.0000 0.0000 1.7382
Ag 3.8902 3.8902 1.7382
```

Computed properties:
ΔH_f (0 K), eV/atom: 0.322

***

No. 7
## ZnCu2Se (PBE-GGA)

Data for ZnCu2Se after structural relaxation.

Structure (extended XYZ):
```
8
Lattice="3.7824 0.0000 0.0000 0.0000 3.7834 0.0000 0.0000 0.0000 8.3087" Properties=species:S:1:pos:R:3 pbc="T T T"
Zn 0.0000 0.0000 0.0000
Zn 1.8912 1.8917 4.1543
Cu 0.0000 0.0000 4.1561
Cu 0.0000 1.8917 6.2370
Cu 1.8912 0.0000 2.0827
Cu 1.8912 1.8917 0.0018
Se 0.0000 1.8917 2.0746
Se 1.8912 0.0000 6.2289
```

Computed properties:
Energy relative to the lowest polymorph listed for this composition, meV/atom: 94.9
Formation energy from raw total energies, eV per atom: 0.114

***

No. 8
## Cs12Ag5Br3 (PBE-GGA)

Data for Cs12Ag5Br3 after structural relaxation.

Structure (extended XYZ):
```
80
Lattice="-10.9891 10.9891 10.9891 10.9891 -10.9891 10.9891 10.9891 10.9891 -10.9891" Properties=species:S:1:pos:R:3 pbc="T T T"
Cs 3.2868 -0.5699 1.7198
Cs 13.1969 7.2143 -6.0645
Cs 10.4192 -1.7198 3.2868
Cs 17.0536 -2.2078 3.7748
Cs 14.2759 0.5699 1.7198
Cs 13.1969 -3.7748 6.0645
Cs 1.7198 3.2868 -0.5699
Cs 14.7639 4.9246 -2.2078
Cs 7.2143 6.0645 -2.2078
Cs 9.2693 3.2868 0.5699
Cs -0.5699 1.7198 3.2868
Cs 6.0645 -2.2078 7.2143
Cs 10.4192 9.2693 -3.2868
Cs 6.0645 2.2078 3.7748
Cs 9.2693 -3.2868 10.4192
Cs 7.2143 -6.0645 13.1969
Cs 3.7748 6.0645 2.2078
Cs 12.7089 7.7023 0.5699
Cs 3.2868 10.4192 -1.7198
Cs 13.1969 3.7748 4.9246
Cs 6.0645 13.1969 -3.7748
Cs 10.4192 1.7198 7.7023
Cs 2.2078 3.7748 6.0645
Cs 3.2868 0.5699 9.2693
Cs 7.7023 10.4192 1.7198
Cs 8.7813 7.2143 4.9246
Cs 0.5699 9.2693 3.2868
Cs 4.9246 -2.2078 14.7639
Cs -2.2078 7.2143 6.0645
Cs 7.7023 0.5699 12.7089
Cs -1.7198 3.2868 10.4192
Cs 7.2143 4.9246 8.7813
Cs 3.7748 17.0536 -2.2078
Cs 1.7198 14.2759 0.5699
Cs 4.9246 8.7813 7.2143
Cs 0.5699 1.7198 14.2759
Cs 4.9246 13.1969 3.7748
Cs 11.5590 9.2693 7.7023
Cs 1.7198 7.7023 10.4192
Cs 3.7748 4.9246 13.1969
Cs -3.7748 6.0645 13.1969
Cs 9.2693 7.7023 11.5590
Cs -2.2078 14.7639 4.9246
Cs -3.2868 10.4192 9.2693
Cs -6.0645 13.1969 7.2143
Cs 0.5699 12.7089 7.7023
Cs -2.2078 3.7748 17.0536
Cs 7.7023 11.5590 9.2693
Ag 0.0000 0.0000 0.0000
Ag 5.4946 5.4946 -5.4946
Ag 5.4946 -5.4946 5.4946
Ag 10.9891 0.0000 0.0000
Ag 16.4837 2.7473 0.0000
Ag 10.9891 -5.4946 8.2418
Ag 8.2418 10.9891 -5.4946
Ag 8.2418 0.0000 5.4946
Ag 5.4946 8.2418 0.0000
Ag 10.9891 5.4946 2.7473
Ag -5.4946 5.4946 5.4946
Ag 0.0000 10.9891 0.0000
Ag 0.0000 0.0000 10.9891
Ag 5.4946 5.4946 5.4946
Ag 0.0000 5.4946 8.2418
Ag 5.4946 2.7473 10.9891
Ag 2.7473 10.9891 5.4946
Ag 2.7473 0.0000 16.4837
Ag 0.0000 16.4837 2.7473
Ag -5.4946 8.2418 10.9891
Br 5.4946 2.7473 0.0000
Br 10.9891 5.4946 -2.7473
Br 2.7473 0.0000 5.4946
Br 13.7364 0.0000 5.4946
Br 0.0000 5.4946 2.7473
Br 5.4946 -2.7473 10.9891
Br 5.4946 13.7364 0.0000
Br 10.9891 5.4946 8.2418
Br -2.7473 10.9891 5.4946
Br 8.2418 10.9891 5.4946
Br 0.0000 5.4946 13.7364
Br 5.4946 8.2418 10.9891
```

Computed properties:
Formation energy from raw total energies, eV per atom: -0.370

***

| no. | M_tot (μB/cell) |
| --- | --- |
| 1 | 0.00 |
| 2 | 0.00 |
| 3 | 2.26 |
| 4 | 4.62 |
| 5 | 0.00 |
| 6 | 0.00 |
| 7 | 0.00 |
| 8 | 0.00 |